Material: K2Mn
Method: DFT, PBE
State: relaxed

```
K2Mn
1.0
9.040 0.000 0.000
0.000 9.069 0.000
0.000 0.000 3.635
K Mn
4 2
Cartesian
1.501 1.736 0.000
3.019 6.271 1.817
6.021 2.798 1.817
7.538 7.332 0.000
0.000 4.534 1.817
4.520 0.000 0.000
```

Polymorph energy (0 for the lowest one): 0.638 eV/f.u.
ΔE_f: 0.877 eV/atom
Space-group type: Pnnm (58)
Calculated density: 1.48 g/cm³
DOS(E_F): 3.91 states/eV/f.u.
Volume: 149 Å³/f.u.